DFT (PBE) results for an optimized crystal structure of Er7Tm12Th.

Energy of formation, eV/atom: 0.24
Space-group type: R-3
Relative energy among the computed polymorphs, eV/atom: 0.000

a = 8.5898 Å, b = 8.5898 Å, c = 8.5898 Å
α = 89.04°, β = 89.04°, γ = 89.04°
Element x y z (fractional)
Tm 0.7166 0.2583 0.1361
Tm 0.6190 0.1455 0.5019
Tm 0.3810 0.8545 0.4981
Tm 0.8545 0.4981 0.3810
Tm 0.7417 0.8639 0.2834
Tm 0.1361 0.7166 0.2583
Tm 0.2583 0.1361 0.7166
Tm 0.5019 0.6190 0.1455
Tm 0.2834 0.7417 0.8639
Tm 0.1455 0.5019 0.6190
Tm 0.4981 0.3810 0.8545
Tm 0.8639 0.2834 0.7417
Er 0.1548 0.3805 0.0476
Er 0.6195 0.9524 0.8452
Er 0.3805 0.0476 0.1548
Er 0.9524 0.8452 0.6195
Er 0.8452 0.6195 0.9524
Er 0.0476 0.1548 0.3805
Er 0.5000 0.5000 0.5000
Th 0.0000 0.0000 0.0000

=====

DFT (PBE) results for an optimized crystal structure of La2NiCl.

Space-group type: I-4m2
Relative energy among the computed polymorphs, eV/atom: 0.310
Uncorrected formation energy, eV per atom: -0.66

a = 6.9772 Å, b = 6.9772 Å, c = 6.9772 Å
α = 146.57°, β = 146.57°, γ = 48.00°
Element x y z (fractional)
Cl 0.7500 0.2500 0.5000
La 0.2500 0.7500 0.5000
La 0.0000 0.0000 0.0000
Ni 0.5000 0.5000 0.0000

=====

DFT (PBE) results for an optimized crystal structure of LiSmCoC.

Energy of formation, eV/atom: -0.05
Space-group type: P4/nmm

a = 3.4006 Å, b = 3.4006 Å, c = 10.9963 Å
α = 90.00°, β = 90.00°, γ = 90.00°
Element x y z (fractional)
Sm 0.2500 0.2500 0.7835
Sm 0.7500 0.7500 0.2165
Li 0.7500 0.2500 0.5000
Li 0.2500 0.7500 0.5000
Co 0.7500 0.2500 0.0000
Co 0.2500 0.7500 0.0000
C 0.2500 0.2500 0.0971
C 0.7500 0.7500 0.9029

=====

DFT (PBE) results for an optimized crystal structure of Sm4Y.

Energy of formation, eV/atom: 0.69
Space-group type: Pm-3m
Relative energy among the computed polymorphs, eV/atom: 0.674

a = 5.7656 Å, b = 5.7656 Å, c = 5.7656 Å
α = 90.00°, β = 90.00°, γ = 90.00°
Site moments in Bohr magnetons follow the coordinates.
Element x y z (fractional)
Sm 0.0000 0.0000 0.0000  0.04
Sm 0.5000 0.5000 0.0000  0.07
Sm 0.5000 0.0000 0.5000  0.07
Sm 0.0000 0.5000 0.5000  0.07
Y 0.5000 0.5000 0.5000  0.18

=====

DFT (PBE) results for an optimized crystal structure of NaTcPt.

Energy of formation, eV/atom: 0.14
Space-group type: C2/m
Relative energy among the computed polymorphs, eV/atom: 0.096

a = 17.6641 Å, b = 8.2567 Å, c = 8.2567 Å
α = 160.62°, β = 162.39°, γ = 17.61°
Element x y z (fractional)
Tc 0.3667 0.1962 0.8038
Tc 0.6333 0.8038 0.1962
Pt 0.8401 0.2617 0.7383
Pt 0.1599 0.7383 0.2617
Na 0.7374 0.0328 0.9672
Na 0.2626 0.9672 0.0328

=====

DFT (PBE) results for an optimized crystal structure of SmDyErZn.

Energy of formation, eV/atom: -0.16
Space-group type: P4mm
Relative energy among the computed polymorphs, eV/atom: 0.000

a = 3.5657 Å, b = 3.5657 Å, c = 8.6539 Å
α = 90.00°, β = 90.00°, γ = 90.00°
Element x y z (fractional)
Sm 0.0000 0.0000 0.0731
Er 0.5000 0.5000 0.3681
Zn 0.0000 0.0000 0.5682
Dy 0.5000 0.5000 0.7754

=====

Number 1: E_tot -4.41 eV per atom, DOS(E_F) 2.05 states/eV/atom. Number 2: E_tot -5.03 eV per atom, DOS(E_F) 0.85 states/eV/atom. Number 3: E_tot -5.79 eV per atom, DOS(E_F) 0.67 states/eV/atom. Number 4: E_tot -4.38 eV per atom, DOS(E_F) 1.61 states/eV/atom. Number 5: E_tot -5.77 eV per atom, DOS(E_F) 0.44 states/eV/atom. Number 6: E_tot -3.95 eV per atom, DOS(E_F) 1.15 states/eV/atom.